Sc2Nb2Te at its PBEsol-relaxed geometry, computed with SCAN.

Values from the calculation:
Theoretical density ... 6.23 g cm⁻³
Total DFT energy (no corrections) ... -25.717 eV per atom
Crystal system ... tetragonal
Formation energy from raw total energies ... 0.680 eV/atom

Unit cell a=3.9089 b=3.9089 c=7.5631 alpha=104.98 beta=104.98 gamma=90.00
Last column: nearest neighbours and their distance in Å.
Sites, in units of the cell vectors:
Nb 0.4091 0.4091 0.8181  1 Nb 2.56
Nb 0.5909 0.5909 0.1819  1 Nb 2.56
Te 0.0000 0.0000 0.0000  8 Nb 3.05
Sc 0.7500 0.2500 0.5000  4 Sc 2.76, 4 Nb 2.97
Sc 0.2500 0.7500 0.5000  4 Sc 2.76, 4 Nb 2.97